[1]
This record from the Alexandria database describes crystalline CaLa2HfAs4 at its relaxed geometry. The functional is PBE.

The structure in POSCAR format:
```
CaLa2HfAs4
1.0
7.1827 0.0000 0.0000
0.0000 4.1904 0.0000
-2.4102 0.0000 6.9118
Ca La Hf As
1 2 1 4
Direct
0.0000 0.0000 0.0000 Ca
0.5000 0.0000 0.5000 La
0.5000 0.5000 0.0000 La
0.0000 0.5000 0.5000 Hf
0.2237 0.0000 0.7293 As
0.2318 0.5000 0.2604 As
0.7682 0.5000 0.7396 As
0.7763 0.0000 0.2707 As
```

## Properties
The value obtained for the density of states at the Fermi level is 1.20 states/eV/f.u. Its density is 6354 kg/m3. The formation energy is -1.299 eV/atom.

=====

[2]
This record from the Alexandria database describes crystalline Sn3Hg2Pb3 at its relaxed geometry. The functional is PBE.

The structure in POSCAR format:
```
Sn3Hg2Pb3
1.0
10.0899 -2.4177 0.0000
10.0899 2.4177 0.0000
-1.1554 0.0000 4.6912
Sn Hg Pb
3 2 3
Direct
0.0000 0.0000 0.0000 Sn
0.1293 0.1293 0.6305 Sn
0.8707 0.8707 0.3695 Sn
0.2497 0.2497 0.2497 Hg
0.7503 0.7503 0.7503 Hg
0.3702 0.3702 0.8690 Pb
0.5000 0.5000 0.5000 Pb
0.6298 0.6298 0.1310 Pb
```

## Properties
The value obtained for the density of states at the Fermi level is 3.07 states/eV/f.u. Its density is 10004 kg/m3. The formation energy is 0.039 eV/atom.

=====

Number 1: uncorrected energy -50.80 eV for the cell shown. Number 2: uncorrected energy -23.43 eV for the cell shown.